Record 1
{"formula": "AcPmHoTe3", "functional": "PBE", "state": "optimized geometry", "sg": "P2_1/m, No. 11", "raw_formation_energy_ev_per_atom": -1.281, "cell": [[8.7382, 0.0000, 0.0000], [0.0000, 4.5658, 0.0000], [-3.6898, 0.0000, 10.1163]], "species": ["Ac", "Ac", "Pm", "Pm", "Ho", "Ho", "Te", "Te", "Te", "Te", "Te", "Te"], "frac_coords": [[0.1836, 0.2500, 0.2306], [0.8164, 0.7500, 0.7694], [0.3575, 0.7500, 0.8852], [0.6425, 0.2500, 0.1148], [0.1421, 0.2500, 0.6209], [0.8579, 0.7500, 0.3791], [0.1093, 0.2500, 0.8976], [0.2365, 0.7500, 0.4772], [0.4634, 0.7500, 0.2083], [0.5366, 0.2500, 0.7917], [0.7635, 0.2500, 0.5228], [0.8907, 0.7500, 0.1024]]}



Record 2
{"formula": "AcPm2HoTe5", "functional": "PBE", "state": "optimized geometry", "sg": "P4/mmm, No. 123", "raw_formation_energy_ev_per_atom": -0.898, "cell": [[5.5242, 0.0000, 0.0000], [0.0000, 5.5242, 0.0000], [0.0000, 0.0000, 12.2184]], "species": ["Ac", "Pm", "Pm", "Ho", "Te", "Te", "Te", "Te", "Te"], "frac_coords": [[0.0000, 0.0000, 0.0000], [0.5000, 0.5000, 0.3543], [0.5000, 0.5000, 0.6457], [0.0000, 0.0000, 0.5000], [0.0000, 0.0000, 0.2569], [0.0000, 0.0000, 0.7431], [0.0000, 0.5000, 0.5000], [0.5000, 0.0000, 0.5000], [0.5000, 0.5000, 0.0000]]}



Record 3
{"formula": "AcPm2HoTl2", "functional": "PBE", "state": "optimized geometry", "sg": "Pmc2_1, No. 26", "e_form_mev_per_atom": -249, "cell": [[4.8967, 0.0000, 0.0000], [0.0000, 9.5550, 0.0000], [0.0000, 0.0000, 8.5531]], "species": ["Ac", "Ac", "Pm", "Pm", "Pm", "Pm", "Ho", "Ho", "Tl", "Tl", "Tl", "Tl"], "frac_coords": [[0.0000, 0.0835, 0.0000], [0.0000, 0.9165, 0.5000], [0.0000, 0.3248, 0.3843], [0.0000, 0.6752, 0.8843], [0.5000, 0.4212, 0.0503], [0.5000, 0.5788, 0.5503], [0.5000, 0.1896, 0.6656], [0.5000, 0.8104, 0.1656], [0.0000, 0.3733, 0.7568], [0.0000, 0.6267, 0.2568], [0.5000, 0.1248, 0.2905], [0.5000, 0.8752, 0.7905]]}



Record 4
{"formula": "AcPmHoTl", "functional": "PBE", "state": "optimized geometry", "sg": "F-43m, No. 216", "e_form_mev_per_atom": 31, "cell": [[0.0000, 4.0003, 4.0003], [4.0003, 0.0000, 4.0003], [4.0003, 4.0003, 0.0000]], "species": ["Ac", "Pm", "Ho", "Tl"], "frac_coords": [[0.0000, 0.0000, 0.0000], [0.2500, 0.2500, 0.2500], [0.7500, 0.7500, 0.7500], [0.5000, 0.5000, 0.5000]]}



Record 5
{"formula": "Ac2PmHoTm", "functional": "PBE", "state": "optimized geometry", "sg": "Pmma, No. 51", "e_form_mev_per_atom": 275, "cell": [[6.4170, 0.0000, 0.0000], [0.0000, 9.0258, 0.0000], [0.0000, 0.0000, 6.6403]], "species": ["Ac", "Ac", "Ac", "Ac", "Pm", "Pm", "Ho", "Ho", "Tm", "Tm"], "frac_coords": [[0.2500, 0.2029, 0.2135], [0.2500, 0.7971, 0.2135], [0.7500, 0.2029, 0.7865], [0.7500, 0.7971, 0.7865], [0.2500, 0.5000, 0.9203], [0.7500, 0.5000, 0.0797], [0.2500, 0.0000, 0.6867], [0.7500, 0.0000, 0.3133], [0.0000, 0.5000, 0.5000], [0.5000, 0.5000, 0.5000]]}



Record 6
{"formula": "AcPm6HoTm2", "functional": "PBE", "state": "optimized geometry", "sg": "C2/c, No. 15", "e_form_mev_per_atom": 122, "cell": [[4.7015, -7.6582, 0.0000], [4.7015, 7.6582, 0.0000], [-0.9108, 0.0000, 9.6167]], "species": ["Ac", "Ac", "Pm", "Pm", "Pm", "Pm", "Pm", "Pm", "Pm", "Pm", "Pm", "Pm", "Pm", "Pm", "Ho", "Ho", "Tm", "Tm", "Tm", "Tm"], "frac_coords": [[0.0310, 0.9690, 0.7500], [0.9690, 0.0310, 0.2500], [0.0052, 0.5508, 0.6819], [0.1203, 0.7559, 0.0546], [0.2441, 0.8797, 0.4454], [0.2906, 0.5146, 0.8828], [0.4492, 0.9948, 0.8181], [0.4854, 0.7094, 0.6172], [0.5146, 0.2906, 0.3828], [0.5508, 0.0052, 0.1819], [0.7094, 0.4854, 0.1172], [0.7559, 0.1203, 0.5546], [0.8797, 0.2441, 0.9454], [0.9948, 0.4492, 0.3181], [0.4128, 0.5872, 0.2500], [0.5872, 0.4128, 0.7500], [0.2070, 0.3137, 0.5492], [0.3137, 0.2070, 0.0492], [0.6863, 0.7930, 0.9508], [0.7930, 0.6863, 0.4508]]}



Record 7
{"formula": "AcPm4HoTm2", "functional": "PBE", "state": "optimized geometry", "sg": "Pmmm, No. 47", "e_form_mev_per_atom": 124, "cell": [[5.9203, 0.0000, 0.0000], [0.0000, 5.9305, 0.0000], [0.0000, 0.0000, 7.8011]], "species": ["Ac", "Pm", "Pm", "Pm", "Pm", "Ho", "Tm", "Tm"], "frac_coords": [[0.0000, 0.0000, 0.0000], [0.0000, 0.5000, 0.2710], [0.0000, 0.5000, 0.7290], [0.5000, 0.0000, 0.2722], [0.5000, 0.0000, 0.7278], [0.5000, 0.5000, 0.5000], [0.0000, 0.0000, 0.5000], [0.5000, 0.5000, 0.0000]]}



Record 8
{"formula": "AcPm6Ho3Tm2", "functional": "PBE", "state": "optimized geometry", "sg": "C2/m, No. 12", "e_form_mev_per_atom": 30, "cell": [[3.1365, -5.4323, 0.0000], [3.1365, 5.4323, 0.0000], [-2.0935, 0.0000, 11.7871]], "species": ["Ac", "Pm", "Pm", "Pm", "Pm", "Pm", "Pm", "Ho", "Ho", "Ho", "Tm", "Tm"], "frac_coords": [[0.0000, 0.0000, 0.0000], [0.0850, 0.4218, 0.2542], [0.2515, 0.2515, 0.7455], [0.4218, 0.0850, 0.2542], [0.5782, 0.9150, 0.7458], [0.7485, 0.7485, 0.2545], [0.9150, 0.5782, 0.7458], [0.1673, 0.8327, 0.5000], [0.5000, 0.5000, 0.5000], [0.8327, 0.1673, 0.5000], [0.3334, 0.6666, 0.0000], [0.6666, 0.3334, 0.0000]]}



Record 9
{"formula": "AcPmHo2Tm4", "functional": "PBE", "state": "optimized geometry", "sg": "Pmmm, No. 47", "e_form_mev_per_atom": 50, "cell": [[5.0843, 0.0000, 0.0000], [0.0000, 5.1196, 0.0000], [0.0000, 0.0000, 9.9938]], "species": ["Ac", "Pm", "Ho", "Ho", "Tm", "Tm", "Tm", "Tm"], "frac_coords": [[0.0000, 0.0000, 0.0000], [0.5000, 0.5000, 0.5000], [0.0000, 0.0000, 0.5000], [0.5000, 0.5000, 0.0000], [0.0000, 0.5000, 0.2570], [0.0000, 0.5000, 0.7430], [0.5000, 0.0000, 0.2577], [0.5000, 0.0000, 0.7423]]}



Record 10
{"formula": "AcPm5Ho2Tm", "functional": "PBE", "state": "optimized geometry", "sg": "Cmc2_1, No. 36", "e_form_mev_per_atom": 84, "cell": [[2.8984, -8.7421, 0.0000], [2.8984, 8.7421, 0.0000], [0.0000, 0.0000, 12.1451]], "species": ["Ac", "Ac", "Pm", "Pm", "Pm", "Pm", "Pm", "Pm", "Pm", "Pm", "Pm", "Pm", "Ho", "Ho", "Ho", "Ho", "Tm", "Tm"], "frac_coords": [[0.1157, 0.8843, 0.5000], [0.8843, 0.1157, 0.0000], [0.0780, 0.9220, 0.8413], [0.0801, 0.9199, 0.1642], [0.2675, 0.7325, 0.2953], [0.2681, 0.7319, 0.7061], [0.4393, 0.5607, 0.1480], [0.5607, 0.4393, 0.6480], [0.7319, 0.2681, 0.2061], [0.7325, 0.2675, 0.7953], [0.9199, 0.0801, 0.6642], [0.9220, 0.0780, 0.3413], [0.3860, 0.6140, 0.5000], [0.4379, 0.5621, 0.8534], [0.5621, 0.4379, 0.3534], [0.6140, 0.3860, 0.0000], [0.2478, 0.7522, 0.0003], [0.7522, 0.2478, 0.5003]]}



Record 11
{"formula": "AcPm5HoTm2", "functional": "PBE", "state": "optimized geometry", "sg": "Cmc2_1, No. 36", "e_form_mev_per_atom": 84, "cell": [[2.8933, -8.7331, 0.0000], [2.8933, 8.7331, 0.0000], [0.0000, 0.0000, 12.1548]], "species": ["Ac", "Ac", "Pm", "Pm", "Pm", "Pm", "Pm", "Pm", "Pm", "Pm", "Pm", "Pm", "Ho", "Ho", "Tm", "Tm", "Tm", "Tm"], "frac_coords": [[0.1148, 0.8852, 0.5000], [0.8852, 0.1148, 0.0000], [0.0781, 0.9219, 0.8418], [0.0807, 0.9193, 0.1649], [0.2681, 0.7319, 0.2960], [0.2691, 0.7309, 0.7052], [0.4399, 0.5601, 0.1477], [0.5601, 0.4399, 0.6477], [0.7309, 0.2691, 0.2052], [0.7319, 0.2681, 0.7960], [0.9193, 0.0807, 0.6649], [0.9219, 0.0781, 0.3418], [0.2480, 0.7520, 0.0002], [0.7520, 0.2480, 0.5002], [0.3882, 0.6118, 0.4996], [0.4379, 0.5621, 0.8537], [0.5621, 0.4379, 0.3537], [0.6118, 0.3882, 0.9996]]}



Record 12
{"formula": "AcPm2HoTm5", "functional": "PBE", "state": "optimized geometry", "sg": "I4/mcm, No. 140", "e_form_mev_per_atom": 264, "cell": [[-4.4078, 4.4078, 7.6638], [4.4078, -4.4078, 7.6638], [4.4078, 4.4078, -7.6638]], "species": ["Ac", "Ac", "Pm", "Pm", "Pm", "Pm", "Ho", "Ho", "Tm", "Tm", "Tm", "Tm", "Tm", "Tm", "Tm", "Tm", "Tm", "Tm"], "frac_coords": [[0.2500, 0.2500, 0.0000], [0.7500, 0.7500, 0.0000], [0.1158, 0.6158, 0.7316], [0.3842, 0.1158, 0.5000], [0.6158, 0.8842, 0.5000], [0.8842, 0.3842, 0.2684], [0.2500, 0.7500, 0.5000], [0.7500, 0.2500, 0.5000], [0.0000, 0.0000, 0.0000], [0.0747, 0.1613, 0.5000], [0.1613, 0.6613, 0.0866], [0.3387, 0.4253, 0.5000], [0.4253, 0.9253, 0.0866], [0.5000, 0.5000, 0.0000], [0.5747, 0.0747, 0.9134], [0.6613, 0.5747, 0.5000], [0.8387, 0.3387, 0.9134], [0.9253, 0.8387, 0.5000]]}



Record 13
{"formula": "AcPm3YHo", "functional": "PBE", "state": "optimized geometry", "sg": "P2_1/m, No. 11", "e_form_mev_per_atom": 39, "cell": [[8.2056, 0.0000, 0.0000], [0.0000, 5.2142, 0.0000], [-3.3153, 0.0000, 9.8617]], "species": ["Ac", "Ac", "Pm", "Pm", "Pm", "Pm", "Pm", "Pm", "Y", "Y", "Ho", "Ho"], "frac_coords": [[0.1698, 0.2500, 0.2927], [0.8302, 0.7500, 0.7073], [0.1717, 0.7500, 0.0399], [0.1722, 0.7500, 0.5463], [0.1726, 0.2500, 0.7926], [0.8274, 0.7500, 0.2074], [0.8278, 0.2500, 0.4537], [0.8283, 0.2500, 0.9601], [0.4961, 0.7500, 0.8765], [0.5039, 0.2500, 0.1235], [0.4974, 0.2500, 0.6276], [0.5026, 0.7500, 0.3724]]}



Record 14
{"formula": "AcPm6Y3Ho2", "functional": "PBE", "state": "optimized geometry", "sg": "C2/m, No. 12", "e_form_mev_per_atom": 26, "cell": [[3.1538, -5.4617, 0.0000], [3.1538, 5.4617, 0.0000], [-2.1033, 0.0000, 11.8544]], "species": ["Ac", "Pm", "Pm", "Pm", "Pm", "Pm", "Pm", "Y", "Y", "Y", "Ho", "Ho"], "frac_coords": [[0.0000, 0.0000, 0.0000], [0.0844, 0.4211, 0.2533], [0.2521, 0.2521, 0.7464], [0.4211, 0.0844, 0.2533], [0.5789, 0.9156, 0.7467], [0.7479, 0.7479, 0.2536], [0.9156, 0.5789, 0.7467], [0.1671, 0.8329, 0.5000], [0.5000, 0.5000, 0.5000], [0.8329, 0.1671, 0.5000], [0.3335, 0.6665, 0.0000], [0.6665, 0.3335, 0.0000]]}



Record 15
{"formula": "Ac2PmYHo", "functional": "PBE", "state": "optimized geometry", "sg": "Pmma, No. 51", "e_form_mev_per_atom": 267, "cell": [[6.4469, 0.0000, 0.0000], [0.0000, 8.9580, 0.0000], [0.0000, 0.0000, 6.7297]], "species": ["Ac", "Ac", "Ac", "Ac", "Pm", "Pm", "Y", "Y", "Ho", "Ho"], "frac_coords": [[0.2500, 0.2039, 0.2101], [0.2500, 0.7961, 0.2101], [0.7500, 0.2039, 0.7899], [0.7500, 0.7961, 0.7899], [0.2500, 0.5000, 0.9174], [0.7500, 0.5000, 0.0826], [0.2500, 0.0000, 0.6824], [0.7500, 0.0000, 0.3176], [0.0000, 0.5000, 0.5000], [0.5000, 0.5000, 0.5000]]}



Record 16
{"formula": "AcPm2Y2Ho2", "functional": "PBE", "state": "optimized geometry", "sg": "C2/m, No. 12", "e_form_mev_per_atom": 41, "cell": [[5.7684, -2.5755, 0.0000], [5.7684, 2.5755, 0.0000], [-1.2091, 0.0000, 8.0558]], "species": ["Ac", "Pm", "Pm", "Y", "Y", "Ho", "Ho"], "frac_coords": [[0.0000, 0.0000, 0.0000], [0.2845, 0.2845, 0.8513], [0.7155, 0.7155, 0.1487], [0.1423, 0.1423, 0.4328], [0.8577, 0.8577, 0.5672], [0.4262, 0.4262, 0.2926], [0.5738, 0.5738, 0.7074]]}



Record 17
{"formula": "AcPm6YHo2", "functional": "PBE", "state": "optimized geometry", "sg": "C2/c, No. 15", "e_form_mev_per_atom": 118, "cell": [[4.6711, -7.7371, 0.0000], [4.6711, 7.7371, 0.0000], [-1.0100, 0.0000, 9.6960]], "species": ["Ac", "Ac", "Pm", "Pm", "Pm", "Pm", "Pm", "Pm", "Pm", "Pm", "Pm", "Pm", "Pm", "Pm", "Y", "Y", "Ho", "Ho", "Ho", "Ho"], "frac_coords": [[0.0276, 0.9724, 0.7500], [0.9724, 0.0276, 0.2500], [0.0121, 0.5559, 0.6821], [0.1236, 0.7524, 0.0543], [0.2476, 0.8764, 0.4457], [0.2898, 0.5087, 0.8809], [0.4441, 0.9879, 0.8179], [0.4913, 0.7102, 0.6191], [0.5087, 0.2898, 0.3809], [0.5559, 0.0121, 0.1821], [0.7102, 0.4913, 0.1191], [0.7524, 0.1236, 0.5543], [0.8764, 0.2476, 0.9457], [0.9879, 0.4441, 0.3179], [0.4117, 0.5883, 0.2500], [0.5883, 0.4117, 0.7500], [0.2042, 0.3142, 0.5467], [0.3142, 0.2042, 0.0467], [0.6858, 0.7958, 0.9533], [0.7958, 0.6858, 0.4533]]}



Record 18
{"formula": "AcPm2Y6Ho3", "functional": "PBE", "state": "optimized geometry", "sg": "C2/m, No. 12", "e_form_mev_per_atom": 30, "cell": [[3.1305, -5.4186, 0.0000], [3.1305, 5.4186, 0.0000], [-2.0814, 0.0000, 11.7223]], "species": ["Ac", "Pm", "Pm", "Y", "Y", "Y", "Y", "Y", "Y", "Ho", "Ho", "Ho"], "frac_coords": [[0.0000, 0.0000, 0.0000], [0.3334, 0.6666, 0.0000], [0.6666, 0.3334, 0.0000], [0.0863, 0.4218, 0.2559], [0.2493, 0.2493, 0.7438], [0.4218, 0.0863, 0.2559], [0.5782, 0.9137, 0.7441], [0.7507, 0.7507, 0.2562], [0.9137, 0.5782, 0.7441], [0.1669, 0.8331, 0.5000], [0.5000, 0.5000, 0.5000], [0.8331, 0.1669, 0.5000]]}



Record 19
{"formula": "AcPm2YHo", "functional": "PBE", "state": "optimized geometry", "sg": "Cmcm, No. 63", "e_form_mev_per_atom": 358, "cell": [[4.2553, -6.0729, 0.0000], [4.2553, 6.0729, 0.0000], [0.0000, 0.0000, 7.3463]], "species": ["Ac", "Ac", "Pm", "Pm", "Pm", "Pm", "Y", "Y", "Ho", "Ho"], "frac_coords": [[0.2471, 0.7529, 0.7500], [0.7529, 0.2471, 0.2500], [0.3072, 0.3072, 0.0000], [0.3072, 0.3072, 0.5000], [0.6928, 0.6928, 0.0000], [0.6928, 0.6928, 0.5000], [0.0418, 0.9582, 0.2500], [0.9582, 0.0418, 0.7500], [0.3019, 0.6981, 0.2500], [0.6981, 0.3019, 0.7500]]}



Record 20
{"formula": "AcPm5Y2Ho", "functional": "PBE", "state": "optimized geometry", "sg": "Cmc2_1, No. 36", "e_form_mev_per_atom": 82, "cell": [[2.9173, -8.7799, 0.0000], [2.9173, 8.7799, 0.0000], [0.0000, 0.0000, 12.1817]], "species": ["Ac", "Ac", "Pm", "Pm", "Pm", "Pm", "Pm", "Pm", "Pm", "Pm", "Pm", "Pm", "Y", "Y", "Y", "Y", "Ho", "Ho"], "frac_coords": [[0.1152, 0.8848, 0.5000], [0.8848, 0.1152, 0.0000], [0.0783, 0.9217, 0.8397], [0.0796, 0.9204, 0.1630], [0.2666, 0.7334, 0.2946], [0.2674, 0.7326, 0.7057], [0.4383, 0.5617, 0.1475], [0.5617, 0.4383, 0.6475], [0.7326, 0.2674, 0.2057], [0.7334, 0.2666, 0.7946], [0.9204, 0.0796, 0.6630], [0.9217, 0.0783, 0.3397], [0.3864, 0.6136, 0.4997], [0.4376, 0.5624, 0.8518], [0.5624, 0.4376, 0.3518], [0.6136, 0.3864, 0.9997], [0.2482, 0.7518, 0.9999], [0.7518, 0.2482, 0.4999]]}